# 1
First-principles (meta-GGA SCAN) data for a crystal of KPt2W relaxed with PBEsol, as listed in Alexandria.

extended XYZ file:
```
4
Lattice="-2.798 -0.166 -0.409 -1.072 -2.043 -1.642 -2.105 -6.735 7.310" Properties=species:S:1:pos:R:3 pbc="T T T"
K 0.000 0.000 0.000
Pt -1.519 -2.424 1.566
Pt -4.455 -6.519 3.692
W -2.987 -4.472 2.629
```

Computed properties:
The value obtained for the volume is 69.7 Å³/cell. The density of states at the Fermi level is 1.14 states/eV/atom. The symmetry is R-3m (166). The calculation puts the energy relative to the elements at 261 meV/atom.

# 2
First-principles (meta-GGA SCAN) data for a crystal of K2YPt relaxed with PBEsol, as listed in Alexandria.

extended XYZ file:
```
4
Lattice="3.314 0.000 0.000 1.657 2.870 0.000 1.657 0.957 12.227" Properties=species:S:1:pos:R:3 pbc="T T T"
K 1.657 0.957 3.656
K 4.971 2.870 8.571
Pt 3.314 1.913 6.114
Y 0.000 0.000 0.000
```

Computed properties:
The value obtained for the volume is 116.3 Å³/cell. The density of states at the Fermi level is 0.48 states/eV/atom. The symmetry is R-3m (166). The calculation puts the energy relative to the elements at 491 meV/atom.

# 3
First-principles (meta-GGA SCAN) data for a crystal of K2YPt relaxed with PBEsol, as listed in Alexandria.

extended XYZ file:
```
4
Lattice="-1.875 -2.764 0.760 0.673 -1.933 -5.364 4.542 -1.891 4.324" Properties=species:S:1:pos:R:3 pbc="T T T"
K 2.271 -0.946 2.162
K 2.608 -1.912 -0.520
Pt -0.937 -1.382 0.380
Y -0.601 -2.348 -2.302
```

Computed properties:
The value obtained for the volume is 115.8 Å³/cell. The density of states at the Fermi level is 0.67 states/eV/atom. The symmetry is Cmmm (65). The calculation puts the energy relative to the elements at 367 meV/atom.

# 4
First-principles (meta-GGA SCAN) data for a crystal of KZnPt2 relaxed with PBEsol, as listed in Alexandria.

extended XYZ file:
```
4
Lattice="-1.769 -2.166 -0.805 -1.113 -1.791 2.005 -8.346 4.351 1.366" Properties=species:S:1:pos:R:3 pbc="T T T"
K 0.000 0.000 0.000
Pt -3.108 0.329 0.681
Pt -8.120 0.064 1.885
Zn -5.614 0.197 1.283
```

Computed properties:
The value obtained for the volume is 68.7 Å³/cell. The density of states at the Fermi level is 0.44 states/eV/atom. The symmetry is R-3m (166). The calculation puts the energy relative to the elements at -73 meV/atom.

# 5
First-principles (meta-GGA SCAN) data for a crystal of KZnPt2 relaxed with PBEsol, as listed in Alexandria.

extended XYZ file:
```
4
Lattice="4.196 0.000 0.000 0.000 4.196 0.000 -2.098 -2.098 3.964" Properties=species:S:1:pos:R:3 pbc="T T T"
K 0.000 2.098 1.982
Pt 0.000 0.000 0.000
Pt 2.098 0.000 1.982
Zn 2.098 2.098 0.000
```

Computed properties:
The value obtained for the volume is 69.8 Å³/cell. The density of states at the Fermi level is 0.70 states/eV/atom. The symmetry is I-4m2 (119). The calculation puts the energy relative to the elements at 324 meV/atom.

# 6
First-principles (meta-GGA SCAN) data for a crystal of KZn2Pt relaxed with PBEsol, as listed in Alexandria.

extended XYZ file:
```
4
Lattice="-2.053 -0.954 1.639 2.075 -3.065 0.815 2.958 3.535 5.766" Properties=species:S:1:pos:R:3 pbc="T T T"
K 0.011 -2.010 1.227
Pt 1.490 -0.242 4.110
Zn 1.987 2.375 3.874
Zn 0.970 1.160 1.892
```

Computed properties:
The value obtained for the volume is 78.2 Å³/cell. The density of states at the Fermi level is 0.41 states/eV/atom. The symmetry is Pmmm (47). The calculation puts the energy relative to the elements at -159 meV/atom.

# 7
First-principles (meta-GGA SCAN) data for a crystal of KZr2Pt relaxed with PBEsol, as listed in Alexandria.

extended XYZ file:
```
4
Lattice="-2.919 -0.431 1.764 -0.916 -2.535 -2.134 4.216 -6.133 5.478" Properties=species:S:1:pos:R:3 pbc="T T T"
K -1.918 -1.483 -0.185
Pt 0.190 -4.550 2.554
Zr 2.741 -3.988 3.562
Zr 1.475 -2.145 1.916
```

Computed properties:
The value obtained for the volume is 109.2 Å³/cell. The density of states at the Fermi level is 1.12 states/eV/atom. The symmetry is P4/mmm (123). The calculation puts the energy relative to the elements at -62 meV/atom.

# 8
First-principles (meta-GGA SCAN) data for a crystal of KZrPt relaxed with PBEsol, as listed in Alexandria.

extended XYZ file:
```
3
Lattice="3.778 0.000 0.000 -1.889 3.272 0.000 0.000 0.000 7.458" Properties=species:S:1:pos:R:3 pbc="T T T"
K 0.000 0.000 7.084
Pt 0.000 2.181 4.565
Zr 1.889 1.091 3.266
```

Computed properties:
The value obtained for the volume is 92.2 Å³/cell. The density of states at the Fermi level is 1.11 states/eV/atom. The symmetry is P3m1 (156). The calculation puts the energy relative to the elements at -191 meV/atom.

- Look up the energy relative to the elements of the third one.
  367 meV/atom

- Among the records above, which one has the highest volume?
  number 2